The following is a DFT calculation (PBE) of an optimized crystal structure of TmSn2Pd.

Structure (POSCAR):
```
TmSn2Pd
1.0
-3.6911 2.1569 -0.9383
-0.6724 -2.6819 -3.5197
-2.3094 -2.8241 2.5930
Tm Sn Pd
1 2 1
Direct
0.5000 0.5000 0.5000
0.0000 0.0000 0.5000
0.0000 0.5000 0.0000
0.5000 0.0000 0.0000
```

Energy of formation from the pure elements in eV per atom: -0.575
Spin magnetization in Bohr magnetons per cell: 0.00

---

The following is a DFT calculation (PBE) of an optimized crystal structure of TmSnPd2.

Structure (POSCAR):
```
TmSnPd2
1.0
4.7674 0.0004 0.0003
2.3840 4.1214 -0.2227
2.3840 1.5829 3.8118
Tm Sn Pd
1 1 2
Direct
0.7499 0.7500 0.7500
0.2500 0.2500 0.2500
0.0000 0.0000 0.0000
0.5000 0.5000 0.5000
```

Energy of formation from the pure elements in eV per atom: -0.888
Spin magnetization in Bohr magnetons per cell: 0.00

---

The following is a DFT calculation (PBE) of an optimized crystal structure of TmSn2Pd7.

Structure (POSCAR):
```
TmSn2Pd7
1.0
4.0233 0.0000 -0.7742
-0.1490 4.0205 -0.7742
0.1309 0.1358 11.5219
Tm Sn Pd
1 2 7
Direct
0.0000 0.0000 0.0000
0.6704 0.6704 0.3409
0.3296 0.3296 0.6591
0.0920 0.5920 0.1839
0.4080 0.9080 0.8161
0.5920 0.0920 0.1839
0.5000 0.5000 0.0000
0.7500 0.2500 0.5000
0.9080 0.4080 0.8161
0.2500 0.7500 0.5000
```

Energy of formation from the pure elements in eV per atom: -0.619
Spin magnetization in Bohr magnetons per cell: 0.00

---

- Look up the energy of formation from the pure elements of the first one.
  -0.575 eV per atom